Compound: CaSc2FeMo
Source: Alexandria
Functional: PBE-GGA
Structure: optimized geometry Values from VASP.

## Properties
Space group ... No. 123
Total energy ... -5.773 eV/atom
Density of states at the Fermi level ... 10.85 states/eV/cell
Energy relative to the elements ... 5.09 eV/f.u.

Cell and atoms, written as Quantum ESPRESSO input:
```
&SYSTEM
  ibrav = 0, nat = 5, ntyp = 4
/
ATOMIC_SPECIES
Fe 55.84 Fe.upf
Sc 44.96 Sc.upf
Mo 95.94 Mo.upf
Ca 40.08 Ca.upf
CELL_PARAMETERS angstrom
4.9474 0.0000 0.0000
0.0000 5.4282 0.0000
0.0000 0.0000 4.9474
ATOMIC_POSITIONS angstrom
Fe 2.4737 2.7141 2.4737
Sc 2.4737 0.0000 0.0000
Sc 0.0000 0.0000 2.4737
Mo 0.0000 0.0000 0.0000
Ca 0.0000 2.7141 0.0000
```

---

Compound: Ca2FeMoSe
Source: Alexandria
Functional: PBE-GGA
Structure: optimized geometry Values from VASP.

## Properties
E_form (uncorrected) ... 0.548 eV/atom
Space group ... No. 123
Total energy ... -4.808 eV/atom
Density of states at the Fermi level ... 6.86 states/eV/cell

Cell and atoms, written as Quantum ESPRESSO input:
```
&SYSTEM
  ibrav = 0, nat = 5, ntyp = 4
/
ATOMIC_SPECIES
Mo 95.94 Mo.upf
Se 78.96 Se.upf
Fe 55.84 Fe.upf
Ca 40.08 Ca.upf
CELL_PARAMETERS angstrom
-0.1542 -5.2957 1.1870
2.9487 -0.8839 -3.5606
4.2290 0.6270 3.3466
ATOMIC_POSITIONS angstrom
Mo 1.4744 -0.4420 -1.7803
Se 0.0000 0.0000 0.0000
Fe 3.5118 -2.7763 0.4865
Ca 2.1145 0.3135 1.6733
Ca -0.0771 -2.6479 0.5935
```

---

Compound: CaFeMoSe2
Source: Alexandria
Functional: PBE-GGA
Structure: optimized geometry Values from VASP.

## Properties
E_form (uncorrected) ... 0.583 eV/atom
Space group ... No. 123
Total energy ... -5.070 eV/atom
Density of states at the Fermi level ... 3.64 states/eV/cell

Cell and atoms, written as Quantum ESPRESSO input:
```
&SYSTEM
  ibrav = 0, nat = 5, ntyp = 4
/
ATOMIC_SPECIES
Ca 40.08 Ca.upf
Mo 95.94 Mo.upf
Fe 55.84 Fe.upf
Se 78.96 Se.upf
CELL_PARAMETERS angstrom
4.8598 0.0000 0.0000
0.0000 5.8067 0.0000
0.0000 0.0000 4.8598
ATOMIC_POSITIONS angstrom
Ca 0.0000 2.9034 0.0000
Mo 0.0000 0.0000 0.0000
Fe 2.4299 2.9034 2.4299
Se 2.4299 0.0000 0.0000
Se 0.0000 0.0000 2.4299
```

---

Compound: Ca8Fe3N8
Source: Alexandria
Functional: PBE-GGA
Structure: optimized geometry Values from VASP.

## Properties
E_form (uncorrected) ... -0.760 eV/atom
Space group ... No. 12
Total energy ... -6.444 eV/atom
Density of states at the Fermi level ... 2.93 states/eV/cell

Cell and atoms, written as Quantum ESPRESSO input:
```
&SYSTEM
  ibrav = 0, nat = 19, ntyp = 3
/
ATOMIC_SPECIES
N 14.01 N.upf
Fe 55.84 Fe.upf
Ca 40.08 Ca.upf
CELL_PARAMETERS angstrom
9.2622 0.0033 -0.0031
1.3480 4.8151 0.0000
1.8930 -0.5299 6.8299
ATOMIC_POSITIONS angstrom
N 5.0247 3.7858 6.7953
N 4.7609 1.2634 1.1526
N 7.0396 0.6255 3.0211
N 9.9332 2.4116 1.8525
N 7.4784 0.5026 0.0315
N 5.4636 3.6629 3.8057
N 2.5700 1.8768 4.9743
N 7.7422 3.0250 5.6743
Fe 6.0796 3.4905 5.4176
Fe 1.6205 2.1426 3.4150
Fe 6.4236 0.7979 1.4092
Ca 4.5398 1.3253 3.6182
Ca 5.1230 3.7583 1.3141
Ca 7.3802 0.5301 5.5127
Ca 9.2342 0.0111 1.7676
Ca 3.2689 4.2773 5.0592
Ca 10.1838 2.3415 6.6048
Ca 2.3193 1.9469 0.2220
Ca 7.9633 2.9631 3.2086
```

---

Compound: CaFe3N
Source: Alexandria
Functional: PBE-GGA
Structure: optimized geometry Values from VASP.

## Properties
Polymorph energy (0 for the lowest one) ... 14.31 eV per formula unit
E_form (uncorrected) ... 3.013 eV/atom
Space group ... No. 221
Total energy ... -4.130 eV/atom
Density of states at the Fermi level ... 8.84 states/eV/cell

Cell and atoms, written as Quantum ESPRESSO input:
```
&SYSTEM
  ibrav = 0, nat = 5, ntyp = 3
/
ATOMIC_SPECIES
N 14.01 N.upf
Fe 55.84 Fe.upf
Ca 40.08 Ca.upf
CELL_PARAMETERS angstrom
4.5112 0.0000 0.0000
0.0000 4.5112 0.0000
0.0000 0.0000 4.5112
ATOMIC_POSITIONS angstrom
N 2.2556 2.2556 2.2556
Fe 0.0000 2.2556 0.0000
Fe 2.2556 0.0000 0.0000
Fe 0.0000 0.0000 2.2556
Ca 0.0000 0.0000 0.0000
```

---

Compound: Ca3FeN3
Source: Alexandria
Functional: PBE-GGA
Structure: optimized geometry Values from VASP.

## Properties
Polymorph energy (0 for the lowest one) ... 0.00 eV per formula unit
E_form (uncorrected) ... -0.774 eV/atom
Space group ... No. 176
Total energy ... -6.409 eV/atom
Density of states at the Fermi level ... 4.44 states/eV/cell

Cell and atoms, written as Quantum ESPRESSO input:
```
&SYSTEM
  ibrav = 0, nat = 14, ntyp = 3
/
ATOMIC_SPECIES
Ca 40.08 Ca.upf
Fe 55.84 Fe.upf
N 14.01 N.upf
CELL_PARAMETERS angstrom
-0.8961 6.2323 -3.5247
-5.7482 -3.9079 1.9378
-0.1875 2.4306 4.3455
ATOMIC_POSITIONS angstrom
Ca -5.6456 -0.0401 4.0636
Ca -2.2855 0.9473 3.6563
Ca -4.5464 3.8077 -0.8978
Ca -1.9485 1.7769 0.3503
Ca -4.8834 2.9782 2.4082
Ca -1.1863 4.7951 -1.3051
Fe -4.1777 0.0798 1.2033
Fe -2.6541 4.6752 1.5552
N -4.3322 5.0976 1.2465
N -2.2646 3.1865 2.4047
N -2.4997 -0.3426 1.5120
N -5.4662 -0.9864 1.7441
N -1.3657 5.7415 1.0144
N -4.5673 1.5685 0.3538
```

---

Compound: Ca6FeN5
Source: Alexandria
Functional: PBE-GGA
Structure: optimized geometry Values from VASP.

## Properties
E_form (uncorrected) ... -0.786 eV/atom
Space group ... No. 193
Total energy ... -5.961 eV/atom
Density of states at the Fermi level ... 7.07 states/eV/cell

Cell and atoms, written as Quantum ESPRESSO input:
```
&SYSTEM
  ibrav = 0, nat = 24, ntyp = 3
/
ATOMIC_SPECIES
Ca 40.08 Ca.upf
Fe 55.84 Fe.upf
N 14.01 N.upf
CELL_PARAMETERS angstrom
6.2471 0.0000 0.0000
-3.1236 5.4102 0.0000
0.0000 0.0000 12.2603
ATOMIC_POSITIONS angstrom
Ca -1.8838 3.2628 4.6569
Ca 1.8838 3.2628 7.6034
Ca 1.2398 2.1474 4.6569
Ca 2.4796 0.0000 7.6034
Ca 3.7675 0.0000 4.6569
Ca 3.7675 0.0000 1.4732
Ca 1.2398 2.1474 1.4732
Ca -1.8838 3.2628 1.4732
Ca -1.2398 2.1474 7.6034
Ca -1.2398 2.1474 10.7870
Ca 2.4796 0.0000 10.7870
Ca 1.8838 3.2628 10.7870
Fe 0.0000 0.0000 9.1952
Fe 0.0000 0.0000 3.0651
N 3.1236 1.8034 6.1301
N 1.7973 0.0000 3.0651
N 2.2249 3.8537 3.0651
N 4.4499 0.0000 9.1952
N -0.8986 1.5565 3.0651
N 3.1236 1.8034 0.0000
N 0.0000 3.6068 0.0000
N 0.0000 3.6068 6.1301
N 0.8986 1.5565 9.1952
N -2.2249 3.8537 9.1952
```

---

Compound: Ca5Fe2N4
Source: Alexandria
Functional: PBE-GGA
Structure: optimized geometry Values from VASP.

## Properties
E_form (uncorrected) ... -0.644 eV/atom
Space group ... No. 130
Total energy ... -6.120 eV/atom
Density of states at the Fermi level ... 11.38 states/eV/cell

Cell and atoms, written as Quantum ESPRESSO input:
```
&SYSTEM
  ibrav = 0, nat = 44, ntyp = 3
/
ATOMIC_SPECIES
Fe 55.84 Fe.upf
N 14.01 N.upf
Ca 40.08 Ca.upf
CELL_PARAMETERS angstrom
7.9987 0.0000 0.0000
0.0000 7.9987 0.0000
0.0000 0.0000 12.4893
ATOMIC_POSITIONS angstrom
Fe 7.0900 3.0906 3.1223
Fe 7.0900 0.9087 9.3669
Fe 4.9081 0.9087 3.1223
Fe 0.9087 4.9081 9.3669
Fe 4.9081 3.0906 9.3669
Fe 3.0906 4.9081 3.1223
Fe 3.0906 7.0900 9.3669
Fe 0.9087 7.0900 3.1223
N 6.8787 3.5737 4.9000
N 4.4250 1.1200 1.3446
N 1.1200 7.5731 1.3446
N 7.5731 2.8794 1.3446
N 2.8794 7.5731 7.5892
N 2.8794 4.4250 1.3446
N 7.5731 1.1200 7.5892
N 0.4256 5.1193 11.1447
N 5.1193 0.4256 4.9000
N 1.1200 4.4250 7.5892
N 6.8787 0.4256 11.1447
N 4.4250 2.8794 7.5892
N 5.1193 3.5737 11.1447
N 3.5737 5.1193 4.9000
N 3.5737 6.8787 11.1447
N 0.4256 6.8787 4.9000
Ca 0.5821 6.9614 7.3723
Ca 1.0372 4.5815 5.1169
Ca 1.0372 7.4166 11.3616
Ca 5.0366 0.5821 7.3723
Ca 5.9990 5.9990 10.5953
Ca 2.9621 4.5815 11.3616
Ca 6.9614 3.4172 7.3723
Ca 4.5815 2.9621 5.1169
Ca 7.4166 2.9621 11.3616
Ca 2.9621 7.4166 5.1169
Ca 3.4172 5.0366 7.3723
Ca 7.4166 1.0372 5.1169
Ca 4.5815 1.0372 11.3616
Ca 0.5821 5.0366 1.1277
Ca 5.9990 5.9990 4.3507
Ca 6.9614 0.5821 1.1277
Ca 3.4172 6.9614 1.1277
Ca 1.9997 1.9997 1.8939
Ca 5.0366 3.4172 1.1277
Ca 1.9997 1.9997 8.1386
```

---

Compound: Ca3FeN3
Source: Alexandria
Functional: PBE-GGA
Structure: optimized geometry Values from VASP.

## Properties
Polymorph energy (0 for the lowest one) ... 0.12 eV per formula unit
E_form (uncorrected) ... -0.757 eV/atom
Space group ... No. 63
Total energy ... -6.392 eV/atom
Density of states at the Fermi level ... 4.35 states/eV/cell

Cell and atoms, written as Quantum ESPRESSO input:
```
&SYSTEM
  ibrav = 0, nat = 14, ntyp = 3
/
ATOMIC_SPECIES
N 14.01 N.upf
Ca 40.08 Ca.upf
Fe 55.84 Fe.upf
CELL_PARAMETERS angstrom
-4.7699 1.4052 0.6708
-1.6882 -6.2834 1.1581
1.4222 1.8804 6.1736
ATOMIC_POSITIONS angstrom
N -1.7862 -3.7896 4.6199
N -3.2497 0.7918 3.3826
N -2.5429 1.9168 6.0516
N -1.6814 -2.0544 1.7305
N -2.4930 -4.9146 1.9510
N -3.3545 -0.9434 6.2721
Ca -4.9292 -4.3466 2.2037
Ca -4.0267 -1.1676 1.9621
Ca -1.0092 -1.8302 6.0404
Ca -0.1067 1.3488 5.7989
Ca -0.8929 0.0952 2.8343
Ca -4.1430 -3.0930 5.1683
Fe -1.9357 -3.4519 2.8496
Fe -3.1002 0.4541 5.1529
```

---

Compound: Ca5FeN4
Source: Alexandria
Functional: PBE-GGA
Structure: optimized geometry Values from VASP.

## Properties
E_form (uncorrected) ... -0.492 eV/atom
Space group ... No. 59
Total energy ... -5.669 eV/atom
Density of states at the Fermi level ... 10.32 states/eV/cell

Cell and atoms, written as Quantum ESPRESSO input:
```
&SYSTEM
  ibrav = 0, nat = 20, ntyp = 3
/
ATOMIC_SPECIES
N 14.01 N.upf
Ca 40.08 Ca.upf
Fe 55.84 Fe.upf
CELL_PARAMETERS angstrom
-0.7444 -5.2491 2.4335
-0.0369 -3.1102 -6.7199
7.7842 -0.9252 0.3854
ATOMIC_POSITIONS angstrom
N 5.3272 -3.2279 1.4647
N 3.8146 -1.6593 -1.1144
N 3.7945 -3.3504 -4.7684
N -0.6853 -5.6075 0.3806
N 5.5862 -4.9641 -1.8130
N 1.3960 -4.4660 -2.0205
N -0.7022 -7.0265 -2.6853
N 1.7332 -2.8007 1.2867
Ca 4.8394 -6.9450 -2.9151
Ca 6.0557 -2.7892 -0.7654
Ca 4.8578 -5.4028 0.4171
Ca 1.3298 -3.7976 -4.3862
Ca 6.0370 -4.3571 -4.1531
Ca -0.5141 -3.6252 1.6807
Ca 1.7809 -5.0370 0.2647
Ca 1.7625 -6.5793 -3.0674
Ca 3.6433 -3.6416 -2.4144
Ca 1.3484 -2.2297 -0.9985
Fe 3.6701 -2.0282 0.9186
Fe -0.5408 -5.2385 -1.6523
```

---

Compound: Ca11Fe2N10
Source: Alexandria
Functional: PBE-GGA
Structure: optimized geometry Values from VASP.

## Properties
E_form (uncorrected) ... -0.747 eV/atom
Space group ... No. 8
Total energy ... -6.059 eV/atom

Cell and atoms, written as Quantum ESPRESSO input:
```
&SYSTEM
  ibrav = 0, nat = 23, ntyp = 3
/
ATOMIC_SPECIES
Ca 40.08 Ca.upf
N 14.01 N.upf
Fe 55.84 Fe.upf
CELL_PARAMETERS angstrom
6.1095 0.0284 -0.1189
-2.8501 5.4041 -0.1189
-0.1944 -0.3240 12.3794
ATOMIC_POSITIONS angstrom
Ca 2.6402 0.3632 10.6958
Ca 4.7651 1.7385 7.3870
Ca 0.6182 4.9412 4.5062
Ca 1.0355 1.7259 4.5082
Ca -0.7248 3.0432 1.4505
Ca -0.7085 5.0226 7.3870
Ca 1.7213 2.8688 7.6132
Ca 2.3094 3.8491 12.0905
Ca 4.0689 2.8709 4.5062
Ca 3.0262 0.7926 1.4505
Ca -0.9220 2.5005 10.6958
N 2.8616 1.3955 6.0143
N 4.9900 1.0856 3.0474
N 0.6797 1.1329 9.0761
N 3.9034 3.6125 8.7545
N 1.3505 5.1442 8.7545
N -0.1154 3.1817 6.0143
N 3.5586 1.9102 12.1627
N 2.1162 3.5270 3.1015
N -1.3904 4.9138 3.0474
N 0.0108 4.0388 12.1627
Fe 3.0538 5.0897 9.0283
Fe 2.9859 4.9766 2.7569
```

---

Compound: Ca3Fe3N5
Source: Alexandria
Functional: PBE-GGA
Structure: optimized geometry Values from VASP.

## Properties
E_form (uncorrected) ... -0.566 eV/atom
Space group ... No. 2
Total energy ... -7.204 eV/atom
Density of states at the Fermi level ... 11.98 states/eV/cell

Cell and atoms, written as Quantum ESPRESSO input:
```
&SYSTEM
  ibrav = 0, nat = 22, ntyp = 3
/
ATOMIC_SPECIES
Fe 55.84 Fe.upf
N 14.01 N.upf
Ca 40.08 Ca.upf
CELL_PARAMETERS angstrom
-1.1328 -1.7300 5.1235
5.6779 -3.6383 -0.5962
2.0946 8.0043 0.9051
ATOMIC_POSITIONS angstrom
Fe 0.8556 2.7498 1.9670
Fe 6.3808 2.2574 0.6374
Fe 3.7967 -2.4121 0.0796
Fe 5.7842 -0.1138 3.4654
Fe 0.2589 0.3786 4.7950
Fe 2.8431 5.0481 5.3528
N 4.0955 4.0162 4.3463
N 0.4223 1.7469 3.5380
N 6.2174 0.8891 1.8944
N 5.4104 -1.5499 0.0127
N 4.1179 0.0945 4.2664
N 5.9905 3.8739 1.4182
N 1.2294 4.1859 5.4197
N 0.6493 -1.2379 4.0142
N 2.5219 2.5415 1.1660
N 2.5443 -1.3802 1.0861
Ca 2.7159 1.9861 4.4927
Ca 3.1692 4.5948 2.2785
Ca 6.0270 2.7008 3.6586
Ca 3.4706 -1.9588 3.1539
Ca 3.9239 0.6499 0.9397
Ca 0.6128 -0.0648 1.7737
```

---

- The highest total energy belongs to which entry?
  CaFe3N

---

- total energy of number 5 (CaFe3N)?
  -4.130 eV/atom

---

- The lowest total energy belongs to which entry?
  Ca3Fe3N5